No. 1
Entry from the Alexandria database: an optimized crystal structure of SmBe2Si2 (PBE).

Computed properties:
* formation energy without anion corrections: -0.347 eV/atom
* V: 75.9 Å³/cell
* symmetry: I4/mmm

Lattice parameters (Å, degrees): 3.9460 3.9460 5.6158 110.57 110.57 90.00
Positions (direct):
Be 0.7500 0.2500 0.5000
Be 0.2500 0.7500 0.5000
Sm 0.0000 0.0000 0.0000
Si 0.3748 0.3748 0.7496
Si 0.6252 0.6252 0.2504

No. 2
Entry from the Alexandria database: an optimized crystal structure of La3GeTe2 (PBE).

Computed properties:
* ΔE to the lowest computed polymorph: 0.010 eV/atom
* formation energy without anion corrections: -1.420 eV/atom
* V: 397.5 Å³/cell
* symmetry: C2/c

Lattice parameters (Å, degrees): 7.8277 7.8714 7.8714 119.56 99.71 99.71
Positions (direct):
Te 0.2500 0.2435 0.7565
Te 0.2500 0.9178 0.0822
Te 0.7500 0.0822 0.9178
Te 0.7500 0.7565 0.2435
La 0.0000 0.5000 0.0000
La 0.4973 0.6498 0.8016
La 0.5000 0.0000 0.5000
La 0.0027 0.1984 0.3502
La 0.5027 0.3502 0.1984
La 0.9973 0.8016 0.6498
Ge 0.7500 0.4122 0.5878
Ge 0.2500 0.5878 0.4122

No. 3
Entry from the Alexandria database: an optimized crystal structure of Ac2Cu3SnPt4 (PBE).

Computed properties:
* formation energy: -0.66 eV/atom
* V: 205.0 Å³/cell
* symmetry: P-4m2

Lattice parameters (Å, degrees): 4.2586 4.2586 11.3010 90.00 90.00 90.00
Positions (direct):
Pt 0.0000 0.0000 0.0000
Pt 0.0000 0.5000 0.3541
Pt 0.5000 0.0000 0.6459
Pt 0.5000 0.5000 0.0000
Ac 0.0000 0.5000 0.7721
Ac 0.5000 0.0000 0.2279
Cu 0.0000 0.0000 0.5000
Cu 0.0000 0.5000 0.1305
Cu 0.5000 0.0000 0.8695
Sn 0.5000 0.5000 0.5000

No. 4
Entry from the Alexandria database: an optimized crystal structure of MgZnPd6 (PBE).

Computed properties:
* formation energy: -0.14 eV/atom
* ΔE to the lowest computed polymorph: 0.250 eV/atom
* V: 138.9 Å³/cell
* symmetry: C2/m

Lattice parameters (Å, degrees): 4.7242 4.7242 7.1415 73.37 73.37 68.25
Positions (direct):
Pd 0.6452 0.6452 0.0654
Pd 0.9370 0.4501 0.7004
Pd 0.5499 0.0630 0.2996
Pd 0.4501 0.9370 0.7004
Pd 0.3548 0.3548 0.9346
Pd 0.0630 0.5499 0.2996
Zn 0.0000 0.0000 0.0000
Mg 0.5000 0.5000 0.5000

Please write out number 2 again, unchanged.
Entry from the Alexandria database: an optimized crystal structure of La3GeTe2 (PBE).

Computed properties:
* ΔE to the lowest computed polymorph: 0.010 eV/atom
* formation energy without anion corrections: -1.420 eV/atom
* V: 397.5 Å³/cell
* symmetry: C2/c

Lattice parameters (Å, degrees): 7.8277 7.8714 7.8714 119.56 99.71 99.71
Positions (direct):
Te 0.2500 0.2435 0.7565
Te 0.2500 0.9178 0.0822
Te 0.7500 0.0822 0.9178
Te 0.7500 0.7565 0.2435
La 0.0000 0.5000 0.0000
La 0.4973 0.6498 0.8016
La 0.5000 0.0000 0.5000
La 0.0027 0.1984 0.3502
La 0.5027 0.3502 0.1984
La 0.9973 0.8016 0.6498
Ge 0.7500 0.4122 0.5878
Ge 0.2500 0.5878 0.4122